This record from Alexandria describes a PBEsol-optimized structure of K2Be2Si3O9. The functional is SCAN.

Unit cell a=10.2340 b=6.9216 c=12.1471 alpha=90.00 beta=106.89 gamma=90.00
Closest atoms and distances in Å follow each position.
Space group P2_1/c (No. 14)
One atom of each set of equivalent atoms:
K 0.0396 0.1292 0.3575 x4  7 O 2.75-2.98
K 0.4404 0.6113 0.8527 x4  5 O 2.68-2.94
Be 0.0698 0.5909 0.4574 x4  4 O 1.59-1.70
Be 0.4363 0.5730 0.5576 x4  4 O 1.58-1.70
Si 0.2436 0.1800 0.1271 x4  4 O 1.60-1.66
Si 0.2570 0.0315 0.8182 x4  4 O 1.60-1.66
Si 0.2620 0.6141 0.0796 x4  4 O 1.61-1.67
O 0.0994 0.0722 0.0660 x4  1 Si 1.63, 2 Be 1.68-1.70
O 0.1201 0.6973 0.9985 x4  1 Be 1.59, 1 Si 1.61
O 0.1211 0.5070 0.3549 x4  1 Be 1.59, 1 Si 1.60
O 0.2414 0.2475 0.7567 x4  2 Si 1.66
O 0.2604 0.1229 0.5547 x4  2 Si 1.66-1.67
O 0.2647 0.6269 0.2175 x4  2 Si 1.66-1.67
O 0.3752 0.0472 0.1421 x4  1 Be 1.58, 1 Si 1.60
O 0.3981 0.0192 0.9226 x4  1 Si 1.62, 2 Be 1.68-1.70
O 0.3993 0.7011 0.0590 x4  1 Be 1.61, 1 Si 1.61

Calculated values
The crystal system is monoclinic. The density of states at the Fermi level is 0.00 states/eV/cell. The total DFT energy (no corrections) comes out at -633.5 eV/cell.

This record from Alexandria describes a PBEsol-optimized structure of Zn2FeRh. The functional is SCAN.

Unit cell a=5.8980 b=5.8980 c=5.8980 alpha=90.00 beta=90.00 gamma=90.00
Closest atoms and distances in Å follow each position.
Space group F-43m (No. 216)
One atom of each set of equivalent atoms:
Zn 0.0000 0.0000 0.0000 x4  4 Fe 2.55, 4 Zn 2.55
Zn 0.2500 0.2500 0.2500 x4  4 Rh 2.55, 4 Zn 2.55
Fe 0.2500 0.2500 0.7500 x4  4 Rh 2.55, 4 Zn 2.55
Rh 0.0000 0.0000 0.5000 x4  4 Zn 2.55, 4 Fe 2.55

Calculated values
The crystal system is cubic. Its formation energy is -209 meV/atom. The density of states at the Fermi level is 7.30 states/eV/cell.

This record from Alexandria describes a PBEsol-optimized structure of SrMoP. The functional is SCAN.

Unit cell a=6.3429 b=6.3429 c=6.3429 alpha=90.00 beta=90.00 gamma=90.00
Closest atoms and distances in Å follow each position.
Space group F-43m (No. 216)
One atom of each set of equivalent atoms:
Sr 0.0000 0.0000 0.0000 x4  4 P 2.75
Mo 0.0000 0.0000 0.5000 x4  4 P 2.75
P 0.2500 0.2500 0.7500 x4  4 Mo 2.75, 4 Sr 2.75

Calculated values
The crystal system is cubic. Its formation energy is 394 meV/atom. The density of states at the Fermi level is 12.88 states/eV/cell.

This record from Alexandria describes a PBEsol-optimized structure of CaP2PdO7. The functional is SCAN.

Unit cell a=12.9470 b=5.8587 c=7.2274 alpha=90.00 beta=90.00 gamma=90.00
Closest atoms and distances in Å follow each position.
Space group Pnma (No. 62)
One atom of each set of equivalent atoms:
Ca 0.2495 0.2500 0.2494 x4  6 O 2.27-2.45
P 0.1092 0.7500 0.1886 x4  4 O 1.49-1.61
P 0.1114 0.2500 0.8090 x4  4 O 1.49-1.61
Pd 0.0000 0.0000 0.5000 x4  4 O 2.02
O 0.0014 0.2500 0.9143 x4  2 P 1.61
O 0.1118 0.5280 0.3068 x8  1 P 1.56
O 0.1133 0.0283 0.6905 x8  1 P 1.56
O 0.1923 0.7500 0.0459 x4  1 P 1.49
O 0.1952 0.2500 0.9503 x4  1 P 1.49

Calculated values
The crystal system is orthorhombic. The total DFT energy (no corrections) comes out at -533.4 eV/cell.

This record from Alexandria describes a PBEsol-optimized structure of BeCrNi2. The functional is SCAN.

Unit cell a=3.4062 b=3.4062 c=7.0347 alpha=90.00 beta=90.00 gamma=90.00
Closest atoms and distances in Å follow each position.
Space group I-4m2 (No. 119)
One atom of each set of equivalent atoms:
Be 0.0000 0.0000 0.0000 x2  8 Ni 2.41-2.45, 4 Cr 2.45
Cr 0.0000 0.5000 0.2500 x2  8 Ni 2.41-2.45, 4 Be 2.45
Ni 0.0000 0.0000 0.5000 x2  4 Be 2.41, 4 Cr 2.45, 4 Ni 2.45
Ni 0.0000 0.5000 0.7500 x2  4 Cr 2.41, 4 Be 2.45, 4 Ni 2.45

Calculated values
The crystal system is tetragonal. Its formation energy is -93 meV/atom. The density of states at the Fermi level is 7.48 states/eV/cell.

This record from Alexandria describes a PBEsol-optimized structure of AlAgSN2. The functional is SCAN.

Unit cell a=3.9453 b=3.9453 c=5.1209 alpha=90.00 beta=90.00 gamma=90.00
Closest atoms and distances in Å follow each position.
Space group P4/mmm (No. 123)
One atom of each set of equivalent atoms:
Al 0.0000 0.0000 0.0000 x1  4 S 2.79
Ag 0.5000 0.5000 0.5000 x1  4 N 1.97
S 0.5000 0.5000 0.0000 x1  2 Ag 2.56, 4 Al 2.79
N 0.0000 0.5000 0.5000 x2  2 Ag 1.97

Calculated values
The crystal system is tetragonal. The density of states at the Fermi level is 1.12 states/eV/cell. The total DFT energy (no corrections) comes out at -59.5 eV/cell.